First-principles (GGA-PBE) data for a geometry-optimized ErCuAg structure, as listed in OQMD.

## Properties
ΔH_f (0 K) = -0.10 eV per atom

The structure in CIF format:
```
data_ErCuAg
_cell_length_a 6.3476
_cell_length_b 6.3476
_cell_length_c 6.3476
_cell_angle_alpha 90.00
_cell_angle_beta 90.00
_cell_angle_gamma 90.00
_space_group_name_H-M_alt 'F -4 3 m'
_space_group_IT_number 216
_space_group_name_Hall 'F -4 2 3'
loop_
_atom_site_label
_atom_site_type_symbol
_atom_site_fract_x
_atom_site_fract_y
_atom_site_fract_z
_atom_site_occupancy
Er1 Er 0.0000 0.0000 0.0000 1
Cu1 Cu 0.2500 0.2500 0.7500 1
Ag1 Ag 0.0000 0.0000 0.5000 1
```

First-principles (GGA-PBE) data for a geometry-optimized GaAg2Mo structure, as listed in OQMD.

## Properties
uncorrected energy = -4.498 eV per atom

The structure in CIF format:
```
data_GaAg2Mo
_cell_length_a 6.4600
_cell_length_b 6.4600
_cell_length_c 6.4600
_cell_angle_alpha 90.00
_cell_angle_beta 90.00
_cell_angle_gamma 90.00
_space_group_name_H-M_alt 'F -4 3 m'
_space_group_IT_number 216
_space_group_name_Hall 'F -4 2 3'
loop_
_atom_site_label
_atom_site_type_symbol
_atom_site_fract_x
_atom_site_fract_y
_atom_site_fract_z
_atom_site_occupancy
Ga1 Ga 0.0000 0.0000 0.0000 1
Ag1 Ag 0.0000 0.0000 0.5000 1
Ag2 Ag 0.2500 0.2500 0.7500 1
Mo1 Mo 0.2500 0.2500 0.2500 1
```